No. 1
Computed, not measured: a relaxed structure of Ti2InSn at the PBE level of DFT.

a b c (Å): 7.823 7.823 7.187
angles (deg): 113.01 113.01 102.41
Fractional coordinates of all 16 atoms:
Ti1 0.058 0.434 0.743
Ti2 0.179 0.304 0.242
Ti3 0.304 0.179 0.742
Ti4 0.434 0.058 0.243
Ti5 0.566 0.942 0.757
Ti6 0.696 0.821 0.258
Ti7 0.821 0.696 0.758
Ti8 0.942 0.566 0.257
In1 0.316 0.684 0.250
In2 0.440 0.560 0.750
In3 0.560 0.440 0.250
In4 0.684 0.316 0.750
Sn1 0.065 0.935 0.250
Sn2 0.191 0.809 0.750
Sn3 0.809 0.191 0.250
Sn4 0.935 0.065 0.750

Computed properties:
Formation energy from the elements: 24 meV/atom
Total magnetization: 0.001 μB/f.u.
DFT total energy: -5.61 eV/atom

=====

No. 2
Computed, not measured: a relaxed structure of Ti4InSn3 at the PBE level of DFT.

a b c (Å): 9.233 5.799 5.798
angles (deg): 90.00 90.00 90.00
Fractional coordinates of all 16 atoms:
Ti1 0.000 0.000 0.000
Ti2 0.000 0.500 0.500
Ti3 0.250 0.242 0.250
Ti4 0.250 0.758 0.750
Ti5 0.500 0.000 0.500
Ti6 0.500 0.500 0.000
Ti7 0.750 0.242 0.250
Ti8 0.750 0.758 0.750
In1 0.000 0.500 0.000
In2 0.500 0.500 0.500
Sn1 0.000 0.000 0.500
Sn2 0.250 0.258 0.750
Sn3 0.250 0.742 0.250
Sn4 0.500 0.000 0.000
Sn5 0.750 0.258 0.750
Sn6 0.750 0.742 0.250

Computed properties:
Formation energy from the elements: -214 meV/atom
Total magnetization: 0.000 μB/f.u.
DFT total energy: -6.01 eV/atom

=====

No. 3
Computed, not measured: a relaxed structure of Ti2InSn at the PBE level of DFT.

a b c (Å): 7.582 7.582 5.914
angles (deg): 90.00 90.00 90.00
Fractional coordinates of all 16 atoms:
Ti1 0.247 0.250 0.125
Ti2 0.250 0.747 0.375
Ti3 0.250 0.753 0.875
Ti4 0.253 0.250 0.625
Ti5 0.747 0.750 0.625
Ti6 0.750 0.247 0.875
Ti7 0.750 0.253 0.375
Ti8 0.753 0.750 0.125
In1 0.000 0.000 0.500
In2 0.000 0.500 0.750
In3 0.500 0.000 0.250
In4 0.500 0.500 0.000
Sn1 0.000 0.000 0.000
Sn2 0.000 0.500 0.250
Sn3 0.500 0.000 0.750
Sn4 0.500 0.500 0.500

Computed properties:
Formation energy from the elements: 120 meV/atom
Total magnetization: 0.000 μB/f.u.
DFT total energy: -5.51 eV/atom

=====

No. 4
Computed, not measured: a relaxed structure of Ti3InSn at the PBE level of DFT.

a b c (Å): 5.011 5.011 5.011
angles (deg): 90.00 90.00 90.00
Fractional coordinates of all 5 atoms:
Ti1 0.000 0.000 0.500
Ti2 0.000 0.500 0.000
Ti3 0.500 0.000 0.000
In1 0.500 0.500 0.500
Sn1 0.000 0.000 0.000

Computed properties:
Formation energy from the elements: 764 meV/atom
Total magnetization: 1.012 μB/f.u.
DFT total energy: -5.32 eV/atom

=====

No. 5
Computed, not measured: a relaxed structure of Ti15In2Sn2 at the PBE level of DFT.

a b c (Å): 7.209 7.209 7.209
angles (deg): 78.47 78.47 78.47
Fractional coordinates of all 19 atoms:
Ti1 0.000 0.000 0.500
Ti2 0.000 0.305 0.695
Ti3 0.000 0.500 0.000
Ti4 0.000 0.695 0.305
Ti5 0.161 0.626 0.626
Ti6 0.305 0.000 0.695
Ti7 0.305 0.695 0.000
Ti8 0.374 0.374 0.839
Ti9 0.374 0.839 0.374
Ti10 0.500 0.000 0.000
Ti11 0.626 0.161 0.626
Ti12 0.626 0.626 0.161
Ti13 0.695 0.000 0.305
Ti14 0.695 0.305 0.000
Ti15 0.839 0.374 0.374
In1 0.097 0.097 0.097
In2 0.903 0.903 0.903
Sn1 0.320 0.320 0.320
Sn2 0.680 0.680 0.680

Computed properties:
Formation energy from the elements: 181 meV/atom
Total magnetization: 4.220 μB/f.u.
DFT total energy: -6.76 eV/atom

=====

No. 6
Computed, not measured: a relaxed structure of Ti2In2Sn at the PBE level of DFT.

a b c (Å): 7.083 7.083 4.313
angles (deg): 90.00 90.00 90.00
Fractional coordinates of all 10 atoms:
Ti1 0.146 0.354 0.000
Ti2 0.354 0.854 0.000
Ti3 0.646 0.146 0.000
Ti4 0.854 0.646 0.000
In1 0.155 0.655 0.500
In2 0.345 0.155 0.500
In3 0.655 0.845 0.500
In4 0.845 0.345 0.500
Sn1 0.000 0.000 0.000
Sn2 0.500 0.500 0.000

Computed properties:
Formation energy from the elements: -86 meV/atom
Total magnetization: 0.000 μB/f.u.
DFT total energy: -5.14 eV/atom

=====

No. 7
Computed, not measured: a relaxed structure of Ti12In5Sn2 at the PBE level of DFT.

a b c (Å): 7.560 7.560 7.146
angles (deg): 91.36 91.36 66.10
Fractional coordinates of all 19 atoms:
Ti1 0.052 0.052 0.322
Ti2 0.082 0.702 0.378
Ti3 0.171 0.532 0.745
Ti4 0.298 0.918 0.622
Ti5 0.421 0.421 0.119
Ti6 0.468 0.829 0.255
Ti7 0.532 0.171 0.745
Ti8 0.579 0.579 0.881
Ti9 0.702 0.082 0.378
Ti10 0.829 0.468 0.255
Ti11 0.918 0.298 0.622
Ti12 0.948 0.948 0.678
In1 0.202 0.202 0.978
In2 0.264 0.264 0.410
In3 0.500 0.500 0.500
In4 0.736 0.736 0.590
In5 0.798 0.798 0.022
Sn1 0.201 0.799 0.000
Sn2 0.799 0.201 0.000

Computed properties:
Formation energy from the elements: -20 meV/atom
Total magnetization: 1.407 μB/f.u.
DFT total energy: -6.15 eV/atom

=====

No. 8
Computed, not measured: a relaxed structure of Ti2In2Sn at the PBE level of DFT.

a b c (Å): 8.612 8.612 3.015
angles (deg): 90.00 90.00 90.00
Fractional coordinates of all 10 atoms:
Ti1 0.112 0.388 0.000
Ti2 0.388 0.888 0.000
Ti3 0.612 0.112 0.000
Ti4 0.888 0.612 0.000
In1 0.179 0.679 0.500
In2 0.321 0.179 0.500
In3 0.679 0.821 0.500
In4 0.821 0.321 0.500
Sn1 0.000 0.000 0.500
Sn2 0.500 0.500 0.500

Computed properties:
Formation energy from the elements: 85 meV/atom
Total magnetization: 1.965 μB/f.u.
DFT total energy: -4.97 eV/atom

=====

No. 9
Computed, not measured: a relaxed structure of Ti3InSn at the PBE level of DFT.

a b c (Å): 7.826 7.826 5.168
angles (deg): 90.00 90.00 139.85
Fractional coordinates of all 10 atoms:
Ti1 0.000 0.000 0.000
Ti2 0.000 0.000 0.500
Ti3 0.090 0.397 0.250
Ti4 0.397 0.090 0.750
Ti5 0.603 0.910 0.250
Ti6 0.910 0.603 0.750
In1 0.444 0.556 0.750
In2 0.556 0.444 0.250
Sn1 0.177 0.823 0.250
Sn2 0.823 0.177 0.750

Computed properties:
Formation energy from the elements: 36 meV/atom
Total magnetization: 0.493 μB/f.u.
DFT total energy: -6.05 eV/atom

=====

No. 10
Computed, not measured: a relaxed structure of Ti4InSn at the PBE level of DFT.

a b c (Å): 10.163 3.146 7.449
angles (deg): 90.00 111.52 90.00
Fractional coordinates of all 12 atoms:
Ti1 0.172 0.000 0.336
Ti2 0.173 0.000 0.836
Ti3 0.327 0.500 0.164
Ti4 0.328 0.500 0.664
Ti5 0.672 0.500 0.336
Ti6 0.673 0.500 0.836
Ti7 0.827 0.000 0.164
Ti8 0.828 0.000 0.664
In1 0.000 0.500 0.500
In2 0.500 0.000 0.500
Sn1 0.000 0.500 0.000
Sn2 0.500 0.000 0.000

Computed properties:
Formation energy from the elements: -230 meV/atom
Total magnetization: 0.000 μB/f.u.
DFT total energy: -6.62 eV/atom

=====

No. 11
Computed, not measured: a relaxed structure of Ti6In2Sn at the PBE level of DFT.

a b c (Å): 8.388 8.388 8.388
angles (deg): 160.20 121.97 61.94
Fractional coordinates of all 9 atoms:
Ti1 0.150 0.830 0.321
Ti2 0.175 0.000 0.175
Ti3 0.491 0.170 0.321
Ti4 0.509 0.830 0.679
Ti5 0.825 0.000 0.825
Ti6 0.850 0.170 0.679
In1 0.153 0.653 0.500
In2 0.847 0.347 0.500
Sn1 0.500 0.500 0.000

Computed properties:
Formation energy from the elements: 25 meV/atom
Total magnetization: 0.006 μB/f.u.
DFT total energy: -6.29 eV/atom

=====

No. 12
Computed, not measured: a relaxed structure of Ti12InSn6 at the PBE level of DFT.

a b c (Å): 7.860 7.860 7.860
angles (deg): 110.55 110.55 110.55
Fractional coordinates of all 19 atoms:
Ti1 0.037 0.181 0.294
Ti2 0.181 0.294 0.037
Ti3 0.232 0.673 0.594
Ti4 0.294 0.037 0.181
Ti5 0.327 0.406 0.768
Ti6 0.406 0.768 0.327
Ti7 0.594 0.232 0.673
Ti8 0.673 0.594 0.232
Ti9 0.706 0.963 0.819
Ti10 0.768 0.327 0.406
Ti11 0.819 0.706 0.963
Ti12 0.963 0.819 0.706
In1 0.500 0.500 0.500
Sn1 0.085 0.576 0.869
Sn2 0.131 0.915 0.424
Sn3 0.424 0.131 0.915
Sn4 0.576 0.869 0.085
Sn5 0.869 0.085 0.576
Sn6 0.915 0.424 0.131

Computed properties:
Formation energy from the elements: -226 meV/atom
Total magnetization: 2.674 μB/f.u.
DFT total energy: -6.62 eV/atom

=====

No. 13
Computed, not measured: a relaxed structure of Ti2InSn at the PBE level of DFT.

a b c (Å): 4.279 4.279 4.215
angles (deg): 90.00 90.00 90.00
Fractional coordinates of all 4 atoms:
Ti1 0.000 0.500 0.000
Ti2 0.500 0.000 0.000
In1 0.000 0.000 0.500
Sn1 0.500 0.500 0.500

Computed properties:
Formation energy from the elements: -186 meV/atom
Total magnetization: 0.000 μB/f.u.
DFT total energy: -5.82 eV/atom

=====

No. 14
Computed, not measured: a relaxed structure of Ti3InSn at the PBE level of DFT.

a b c (Å): 7.049 7.049 7.049
angles (deg): 140.32 91.84 101.43
Fractional coordinates of all 10 atoms:
Ti1 0.217 0.150 0.067
Ti2 0.395 0.645 0.750
Ti3 0.418 0.850 0.567
Ti4 0.582 0.150 0.433
Ti5 0.605 0.355 0.250
Ti6 0.783 0.850 0.933
In1 0.127 0.877 0.250
In2 0.873 0.123 0.750
Sn1 0.000 0.500 0.500
Sn2 0.500 0.500 0.000

Computed properties:
Formation energy from the elements: -32 meV/atom
Total magnetization: 0.001 μB/f.u.
DFT total energy: -6.12 eV/atom

=====

No. 15
Computed, not measured: a relaxed structure of Ti5In4Sn at the PBE level of DFT.

a b c (Å): 6.862 6.862 6.862
angles (deg): 99.59 99.59 131.82
Fractional coordinates of all 10 atoms:
Ti1 0.000 0.000 0.000
Ti2 0.203 0.596 0.807
Ti3 0.396 0.203 0.607
Ti4 0.596 0.789 0.393
Ti5 0.789 0.396 0.193
In1 0.093 0.299 0.399
In2 0.299 0.899 0.206
In3 0.693 0.093 0.794
In4 0.899 0.693 0.601
Sn1 0.500 0.500 0.000

Computed properties:
Formation energy from the elements: 256 meV/atom
Total magnetization: 0.000 μB/f.u.
DFT total energy: -5.19 eV/atom

=====

No. 16
Computed, not measured: a relaxed structure of TiIn2Sn at the PBE level of DFT.

a b c (Å): 8.186 8.186 5.825
angles (deg): 90.00 90.00 90.00
Fractional coordinates of all 16 atoms:
Ti1 0.000 0.000 0.000
Ti2 0.000 0.500 0.250
Ti3 0.500 0.000 0.750
Ti4 0.500 0.500 0.500
In1 0.238 0.250 0.125
In2 0.250 0.738 0.375
In3 0.250 0.762 0.875
In4 0.262 0.250 0.625
In5 0.738 0.750 0.625
In6 0.750 0.238 0.875
In7 0.750 0.262 0.375
In8 0.762 0.750 0.125
Sn1 0.000 0.000 0.500
Sn2 0.000 0.500 0.750
Sn3 0.500 0.000 0.250
Sn4 0.500 0.500 0.000

Computed properties:
Formation energy from the elements: 235 meV/atom
Total magnetization: 0.000 μB/f.u.
DFT total energy: -4.11 eV/atom

=====

No. 17
Computed, not measured: a relaxed structure of Ti4In2Sn at the PBE level of DFT.

a b c (Å): 4.890 4.890 14.615
angles (deg): 90.00 90.00 90.00
Fractional coordinates of all 14 atoms:
Ti1 0.000 0.000 0.181
Ti2 0.000 0.000 0.819
Ti3 0.000 0.500 0.000
Ti4 0.000 0.500 0.500
Ti5 0.500 0.000 0.000
Ti6 0.500 0.000 0.500
Ti7 0.500 0.500 0.319
Ti8 0.500 0.500 0.681
In1 0.000 0.000 0.374
In2 0.000 0.000 0.626
In3 0.500 0.500 0.126
In4 0.500 0.500 0.874
Sn1 0.000 0.000 0.000
Sn2 0.500 0.500 0.500

Computed properties:
Formation energy from the elements: 687 meV/atom
Total magnetization: 2.462 μB/f.u.
DFT total energy: -5.18 eV/atom

=====

No. 18
Computed, not measured: a relaxed structure of Ti6In2Sn at the PBE level of DFT.

a b c (Å): 7.633 7.633 7.633
angles (deg): 143.12 137.23 57.72
Fractional coordinates of all 9 atoms:
Ti1 0.061 0.813 0.249
Ti2 0.249 0.000 0.249
Ti3 0.436 0.187 0.249
Ti4 0.564 0.813 0.751
Ti5 0.751 0.000 0.751
Ti6 0.939 0.187 0.751
In1 0.116 0.616 0.500
In2 0.884 0.384 0.500
Sn1 0.500 0.500 0.000

Computed properties:
Formation energy from the elements: 246 meV/atom
Total magnetization: 0.002 μB/f.u.
DFT total energy: -6.07 eV/atom

=====

No. 19
Computed, not measured: a relaxed structure of Ti8In2Sn3 at the PBE level of DFT.

a b c (Å): 10.755 10.755 10.755
angles (deg): 29.40 29.40 29.40
Fractional coordinates of all 13 atoms:
Ti1 0.221 0.221 0.728
Ti2 0.221 0.728 0.221
Ti3 0.225 0.225 0.225
Ti4 0.272 0.779 0.779
Ti5 0.728 0.221 0.221
Ti6 0.775 0.775 0.775
Ti7 0.779 0.272 0.779
Ti8 0.779 0.779 0.272
In1 0.134 0.134 0.134
In2 0.866 0.866 0.866
Sn1 0.312 0.312 0.312
Sn2 0.500 0.500 0.500
Sn3 0.688 0.688 0.688

Computed properties:
Formation energy from the elements: 55 meV/atom
Total magnetization: 1.768 μB/f.u.
DFT total energy: -6.15 eV/atom

=====

No. 20
Computed, not measured: a relaxed structure of TiInSn3 at the PBE level of DFT.

a b c (Å): 5.325 5.325 5.325
angles (deg): 90.00 90.00 90.00
Fractional coordinates of all 5 atoms:
Ti1 0.000 0.000 0.000
In1 0.500 0.500 0.500
Sn1 0.000 0.000 0.500
Sn2 0.000 0.500 0.000
Sn3 0.500 0.000 0.000

Computed properties:
Formation energy from the elements: 127 meV/atom
Total magnetization: 0.000 μB/f.u.
DFT total energy: -4.40 eV/atom